Here is crystalline FeH2F8 at its relaxed geometry from Alexandria via LeMat-Bulk. Energies are from GGA+U.

abc: 8.618 4.722 6.141
angles: 67.34 45.44 90.00
Positions (direct):
F 0.974 0.935 0.759
F 0.174 0.449 0.652
F 0.026 0.065 0.241
F 0.266 0.935 0.759
F 0.734 0.065 0.241
F 0.826 0.551 0.348
F 0.497 0.249 0.006
F 0.503 0.751 0.994
H 0.633 0.386 0.733
H 0.367 0.614 0.267
Fe 0.000 0.000 0.000

The value obtained for the magnetic moment is 4.027 μB per formula unit. As for the total energy: -3.8182 eV per atom. As for the density: 2.33 g/cm³.